VASP calculation (PBE) on an optimized crystal structure of LaMgGeIr.

Properties
Its final energy is -5.299 eV per atom. Its theoretical density is 9.040 g/cm³.

Lattice parameters (Å, degrees): 6.801 6.801 6.801 90.00 90.00 90.00
Space group F-43m (No. 216)
Asymmetric unit:
La 0.000 0.000 0.000 (multiplicity 4)
Mg 0.250 0.250 0.750 (multiplicity 4)
Ge 0.000 0.000 0.500 (multiplicity 4)
Ir 0.250 0.250 0.250 (multiplicity 4)